The following is a GGA-PBE calculation of an optimized crystal structure of K2TmMn2Se4, from the Alexandria database.

Calculated values
Calculated density: 4.69 g cm⁻³
Formation energy from raw total energies: -104.69 kJ/mol of atoms

Cell: 4.1545 7.9455 7.9454 Å, 109.08 105.16 90.00°
Positions (direct):
Se: 0.5173 0.7646 0.0346
Se: 0.4827 0.2354 0.9654
K: 0.8691 0.4443 0.7382
Tm: 0.0000 0.0000 0.0000
K: 0.1309 0.5557 0.2618
Mn: 0.6793 0.9837 0.3586
Mn: 0.3207 0.0163 0.6414
Se: 0.1990 0.1808 0.3980
Se: 0.8010 0.8192 0.6020

The following is a GGA-PBE calculation of an optimized crystal structure of Be2TeCl, from the Alexandria database.

Calculated values
Calculated density: 3.49 g cm⁻³
Formation energy from raw total energies: -6.29 kJ/mol of atoms

Cell: 3.8697 3.8697 6.9991 Å, 106.03 106.03 60.04°
Positions (direct):
Be: 0.3510 0.3510 0.5540
Cl: 0.2500 0.2500 0.2500
Te: 0.7500 0.7500 0.7500
Be: 0.1490 0.1490 0.9460

The following is a GGA-PBE calculation of an optimized crystal structure of PuTlAu, from the Alexandria database.

Calculated values
Calculated density: 14.48 g cm⁻³
Final energy: -41.04 eV for the cell shown

Cell: 5.1655 4.9840 6.2518 Å, 113.12 90.00 90.00°
Positions (direct):
Tl: 0.7499 0.3972 0.8096
Au: 0.2501 0.2472 0.4743
Pu: 0.7501 0.0914 0.1981
Pu: 0.2499 0.9086 0.8019
Tl: 0.2501 0.6028 0.1904
Au: 0.7499 0.7528 0.5257

The following is a GGA-PBE calculation of an optimized crystal structure of TeAs2, from the Alexandria database.

Calculated values
Calculated density: 5.77 g cm⁻³
Formation energy from raw total energies: 57.57 kJ/mol of atoms

Cell: 4.8338 4.8338 4.8338 Å, 60.00 60.00 60.00°
Positions (direct):
As: 0.7500 0.7500 0.7500
As: 0.2500 0.2500 0.2500
Te: 0.0000 0.0000 0.0000

The following is a GGA-PBE calculation of an optimized crystal structure of TaCrSnOs, from the Alexandria database.

Calculated values
Calculated density: 13.95 g cm⁻³
Final energy: -36.45 eV for the cell shown

Cell: 4.4246 3.2727 4.4540 Å, 90.00 90.00 90.00°
Positions (direct):
Cr: 0.0000 0.5000 0.0000
Ta: 0.0000 0.0000 0.5000
Sn: 0.5000 0.0000 0.0000
Os: 0.5000 0.5000 0.5000

The following is a GGA-PBE calculation of an optimized crystal structure of Nd2GaSnAu6, from the Alexandria database.

Calculated values
Calculated density: 11.59 g cm⁻³
Final energy: -81.67 eV for the cell shown

Cell: 5.7422 9.3827 8.8220 Å, 90.00 90.00 90.00°
Positions (direct):
Au: 0.2458 0.0159 0.5000
Ga: 0.0000 0.7467 0.0000
Nd: 0.5000 0.7418 0.2421
Au: 0.2478 0.5234 0.0000
Au: 0.7458 0.9841 0.0000
Au: 0.0000 0.8926 0.2548
Au: 0.7478 0.4766 0.5000
Au: 0.5000 0.1074 0.7548
Au: 0.5000 0.1074 0.2452
Nd: 0.0000 0.2582 0.2579
Nd: 0.5000 0.7418 0.7579
Au: 0.2542 0.9841 0.0000
Au: 0.7522 0.5234 0.0000
Au: 0.0000 0.8926 0.7452
Ga: 0.5000 0.2533 0.5000
Au: 0.2522 0.4766 0.5000
Nd: 0.0000 0.2582 0.7421
Au: 0.7542 0.0159 0.5000
Sn: 0.0000 0.7201 0.5000
Sn: 0.5000 0.2799 0.0000

The following is a GGA-PBE calculation of an optimized crystal structure of TbTcN2, from the Alexandria database.

Calculated values
Calculated density: 9.80 g cm⁻³
Formation energy from raw total energies: -84.71 kJ/mol of atoms

Cell: 3.1601 5.6717 10.7771 Å, 90.00 90.00 90.00°
Positions (direct):
N: 0.7500 0.6719 0.7459
N: 0.2500 0.3281 0.2541
N: 0.2500 0.7532 0.5038
Tb: 0.7500 0.5751 0.3522
Tb: 0.2500 0.9249 0.8522
N: 0.2500 0.2532 0.9962
Tc: 0.2500 0.5611 0.0971
N: 0.7500 0.7468 0.0038
Tc: 0.7500 0.9389 0.5971
Tc: 0.2500 0.0611 0.4029
Tb: 0.7500 0.0751 0.1478
N: 0.2500 0.8281 0.2459
Tb: 0.2500 0.4249 0.6478
N: 0.7500 0.2468 0.4962
Tc: 0.7500 0.4389 0.9029
N: 0.7500 0.1719 0.7541

The following is a GGA-PBE calculation of an optimized crystal structure of NiMo2Se, from the Alexandria database.

Calculated values
Calculated density: 8.85 g cm⁻³
Formation energy from raw total energies: 28.05 kJ/mol of atoms

Cell: 2.8037 2.8037 8.2822 Å, 90.00 90.00 108.23°
Positions (direct):
Mo: 0.0000 0.0000 0.0088
Ni: 0.0000 0.0000 0.4916
Mo: 0.5000 0.5000 0.2621
Se: 0.5000 0.5000 0.7374